Record 1
A plane-wave DFT calculation with PBE was carried out for an optimized crystal structure of La2GaPb.

It has space group R-3m (No. 166, hexagonal axes), with a = 3.9914 Å, b = 3.9914 Å, c = 28.2180 Å, α = 90.00°, β = 90.00° and γ = 120.00°. Symmetry generates all atoms from La at (0.0000, 0.0000, 0.2429), Ga at (0.0000, 0.0000, 0.5000) and Pb at (0.0000, 0.0000, 0.0000).

As for the volume: 32.44 A^3/atom. Its energy above the most stable polymorph in this dataset is 219 meV/atom. Its formation energy from the elements is -386 meV/atom. The total magnetic moment comes out at 0.0 μB/f.u.

***

Record 2
A plane-wave DFT calculation with PBE was carried out for an optimized crystal structure of MgTlBr2.

It has space group P2/m (No. 10), with a = 3.881 Å, b = 3.565 Å, c = 10.390 Å, α = 90.00°, β = 94.43° and γ = 90.00°. Symmetry generates all atoms from Mg at (0.000, 0.000, 0.000), Tl at (0.000, 0.000, 0.500) and Br at (0.210, 0.500, 0.844).

The formation energy from raw total energies is -76 kJ/mol of atoms. As for the volume: 35.84 A^3/atom. Its energy above the most stable polymorph in this dataset is 191 meV/atom. The total magnetic moment comes out at 0.0 μB/f.u.

***

Record 3
A plane-wave DFT calculation with PBE was carried out for an optimized crystal structure of BaMgCdAu2.

It has space group I-4m2 (No. 119), with a = 4.509 Å, b = 4.509 Å, c = 12.878 Å, α = 90.00°, β = 90.00° and γ = 90.00°. Symmetry generates all atoms from Ba at (0.000, 0.000, 0.000), Mg at (0.000, 0.500, 0.250), Cd at (0.000, 0.500, 0.750) and Au at (0.000, 0.000, 0.387).

As for the volume: 26.18 A^3/atom. Its formation energy from the elements is -570 meV/atom. The total magnetic moment comes out at 0.0 μB/f.u.

***

> What is the volume in the second record?

35.84 A^3/atom